# 1
{
  "formula": "BaIn2P",
  "functional": "PBEsol",
  "state": "relaxed",
  "lattice_angstrom": [[4.544, 0.000, 0.000], [0.000, 4.544, 0.000], [0.000, 0.000, 5.192]],
  "species": ["In", "In", "Ba", "P"],
  "fractional_positions": [[0.500, 0.000, 0.000], [0.000, 0.500, 0.000], [0.000, 0.000, 0.500], [0.500, 0.500, 0.500]],
  "crystal_system": "tetragonal",
  "sg": "P4/mmm, No. 123",
  "formation_enthalpy_0k_mev_per_atom": -295.3
}

# 2
{
  "formula": "Dy5Ge10Rh4",
  "functional": "PBEsol",
  "state": "relaxed",
  "lattice_angstrom": [[4.247, 0.000, 0.000], [0.000, 12.851, 0.000], [0.000, 0.000, 12.851]],
  "species": ["Ge", "Ge", "Ge", "Ge", "Ge", "Ge", "Ge", "Ge", "Ge", "Ge", "Ge", "Ge", "Ge", "Ge", "Ge", "Ge", "Ge", "Ge", "Ge", "Ge", "Rh", "Rh", "Rh", "Rh", "Rh", "Rh", "Rh", "Rh", "Dy", "Dy", "Dy", "Dy", "Dy", "Dy", "Dy", "Dy", "Dy", "Dy"],
  "fractional_positions": [[0.000, 0.699, 0.338], [0.500, 0.498, 0.658], [0.000, 0.162, 0.801], [0.000, 0.567, 0.067], [0.000, 0.933, 0.567], [0.500, 0.002, 0.158], [0.500, 0.502, 0.342], [0.500, 0.658, 0.502], [0.500, 0.342, 0.498], [0.000, 0.801, 0.838], [0.000, 0.433, 0.933], [0.500, 0.158, 0.998], [0.500, 0.842, 0.002], [0.000, 0.067, 0.433], [0.000, 0.662, 0.699], [0.000, 0.338, 0.301], [0.000, 0.838, 0.199], [0.500, 0.998, 0.842], [0.000, 0.301, 0.662], [0.000, 0.199, 0.162], [0.000, 0.979, 0.754], [0.000, 0.246, 0.979], [0.000, 0.479, 0.746], [0.000, 0.754, 0.021], [0.000, 0.746, 0.521], [0.000, 0.254, 0.479], [0.000, 0.521, 0.254], [0.000, 0.021, 0.246], [0.500, 0.113, 0.613], [0.500, 0.675, 0.175], [0.000, 0.500, 0.500], [0.500, 0.887, 0.387], [0.000, 0.000, 0.000], [0.500, 0.175, 0.325], [0.500, 0.613, 0.887], [0.500, 0.825, 0.675], [0.500, 0.325, 0.825], [0.500, 0.387, 0.113]],
  "crystal_system": "tetragonal",
  "sg": "P4/mbm, No. 127",
  "formation_enthalpy_0k_mev_per_atom": -865.7
}

# 3
{
  "formula": "CuHPt3",
  "functional": "PBEsol",
  "state": "relaxed",
  "lattice_angstrom": [[-3.718, 0.147, -1.227], [-1.014, -2.587, 2.762], [-0.706, 2.939, 2.493]],
  "species": ["Pt", "Pt", "Pt", "Cu", "H"],
  "fractional_positions": [[0.000, 0.500, 0.000], [0.500, 0.000, 0.000], [0.000, 0.000, 0.500], [0.500, 0.500, 0.500], [0.000, 0.000, 0.000]],
  "crystal_system": "cubic",
  "energy_ev_per_atom": -5.6907,
  "sg": "Pm-3m, No. 221"
}

# 4
{
  "formula": "RbPH2O4",
  "functional": "PBEsol",
  "state": "relaxed",
  "lattice_angstrom": [[6.463, -0.050, 0.000], [-2.389, 6.006, 0.000], [-2.037, -2.978, 5.363]],
  "species": ["O", "O", "O", "O", "O", "O", "O", "O", "Rb", "Rb", "H", "H", "H", "H", "P", "P"],
  "fractional_positions": [[0.281, 0.014, 0.550], [0.464, 0.731, 0.450], [0.264, 0.031, 0.050], [0.981, 0.214, 0.950], [0.969, 0.019, 0.233], [0.986, 0.536, 0.267], [0.269, 0.719, 0.733], [0.786, 0.736, 0.767], [0.750, 0.250, 0.500], [0.500, 0.500, 0.000], [0.125, 0.012, 0.387], [0.988, 0.375, 0.113], [0.625, 0.738, 0.613], [0.262, 0.875, 0.887], [0.000, 0.000, 0.000], [0.250, 0.750, 0.500]],
  "de_polymorph_mev_per_atom": 0.0,
  "crystal_system": "tetragonal",
  "sg": "I-42d, No. 122"
}

# 5
{
  "formula": "TlHg2Au",
  "functional": "PBEsol",
  "state": "relaxed",
  "lattice_angstrom": [[5.031, 0.000, 0.000], [-2.515, 4.353, 0.369], [0.000, 2.539, 4.343]],
  "species": ["Hg", "Hg", "Tl", "Au"],
  "fractional_positions": [[0.250, 0.500, 0.250], [0.000, 0.000, 0.000], [0.500, 0.000, 0.500], [0.750, 0.500, 0.750]],
  "de_polymorph_mev_per_atom": 48.5,
  "crystal_system": "tetragonal",
  "sg": "I-4m2, No. 119",
  "formation_enthalpy_0k_mev_per_atom": 70.7
}

# 6
{
  "formula": "Co3BRu",
  "functional": "PBEsol",
  "state": "relaxed",
  "lattice_angstrom": [[3.748, 0.000, 0.000], [0.000, 3.748, 0.000], [0.000, 0.000, 3.748]],
  "species": ["Co", "Co", "Co", "B", "Ru"],
  "fractional_positions": [[0.500, 0.000, 0.000], [0.000, 0.500, 0.000], [0.000, 0.000, 0.500], [0.000, 0.000, 0.000], [0.500, 0.500, 0.500]],
  "crystal_system": "cubic",
  "sg": "Pm-3m, No. 221",
  "formation_enthalpy_0k_mev_per_atom": 265.6
}